A plane-wave DFT calculation with meta-GGA SCAN was carried out for Ni3Au at its PBEsol-relaxed geometry.

Summary:
As for the symmetry: I4/mmm (139). The density of states at the Fermi level is 5.17 states/eV per cell. The calculated formation energy comes out at 76 meV/atom. The total energy comes out at -29.34 eV/atom.

a = 4.4482 Å, b = 4.4482 Å, c = 4.4482 Å
α = 131.68°, β = 131.68°, γ = 70.74°
Closest atoms and distances in Å follow each position.
Fractional coordinates of all 4 atoms:
Ni 0.0000 0.0000 0.0000  8 Ni 2.57, 4 Au 2.57
Ni 0.2500 0.7500 0.5000  4 Au 2.57, 8 Ni 2.57
Ni 0.7500 0.2500 0.5000  4 Au 2.57, 8 Ni 2.57
Au 0.5000 0.5000 0.0000  12 Ni 2.57